(1)
The following is a PBE calculation of LaY2Ru after structural relaxation, from Alexandria.

excess energy over the best structure of this formula in the dataset: 1.66 eV per formula unit
spin magnetization: 0.00 μB/cell
D(E_F): 8.23 states/eV/cell
formation enthalpy at 0 K: 12.1 kJ/mol of atoms
calculated volume: 25.97 A^3/atom

Structure (CIF):
```
data_LaY2Ru
_cell_length_a 6.3377
_cell_length_b 6.3190
_cell_length_c 5.1879
_cell_angle_alpha 90.00
_cell_angle_beta 90.18
_cell_angle_gamma 90.00
_space_group_name_H-M_alt 'C 1 2/m 1'
_space_group_IT_number 12
loop_
_space_group_symop_operation_xyz
'x,y,z'
'-x,-y,-z'
'-x,y,-z'
'x,-y,z'
'x+1/2,y+1/2,z'
'-x+1/2,-y+1/2,-z'
'-x+1/2,y+1/2,-z'
'x+1/2,-y+1/2,z'
loop_
_atom_site_label
_atom_site_type_symbol
_atom_site_fract_x
_atom_site_fract_y
_atom_site_fract_z
La1 La 0.0000 0.0000 0.0000
Y1 Y 0.2500 0.2500 0.5000
Ru1 Ru 0.0000 0.5000 0.0000
```


(2)
The following is a PBE calculation of Sr2BeAg after structural relaxation, from Alexandria.

spin magnetization: 0.00 μB/cell
D(E_F): 6.85 states/eV/cell
formation enthalpy at 0 K: 33.0 kJ/mol of atoms
calculated volume: 29.30 A^3/atom

Structure (CIF):
```
data_Sr2BeAg
_cell_length_a 4.5992
_cell_length_b 4.5992
_cell_length_c 11.0806
_cell_angle_alpha 90.00
_cell_angle_beta 90.00
_cell_angle_gamma 90.00
_space_group_name_H-M_alt 'I -4 m 2'
_space_group_IT_number 119
_space_group_name_Hall 'I -4 -2'
loop_
_atom_site_label
_atom_site_type_symbol
_atom_site_fract_x
_atom_site_fract_y
_atom_site_fract_z
Sr1 Sr 0.0000 0.0000 0.0000
Sr2 Sr 0.0000 0.5000 0.2500
Be1 Be 0.0000 0.0000 0.5000
Ag1 Ag 0.0000 0.5000 0.7500
```


(3)
The following is a PBE calculation of CaRu2Se after structural relaxation, from Alexandria.

spin magnetization: 0.00 μB/cell
D(E_F): 2.83 states/eV/cell
formation energy without anion corrections: 0.239 eV/atom
calculated volume: 17.20 A^3/atom

Structure (CIF):
```
data_CaRu2Se
_cell_length_a 3.1548
_cell_length_b 3.1548
_cell_length_c 6.9137
_cell_angle_alpha 90.00
_cell_angle_beta 90.00
_cell_angle_gamma 90.00
_space_group_name_H-M_alt 'P 4/m m m'
_space_group_IT_number 123
_space_group_name_Hall '-P 4 2'
loop_
_atom_site_label
_atom_site_type_symbol
_atom_site_fract_x
_atom_site_fract_y
_atom_site_fract_z
Ca1 Ca 0.0000 0.0000 0.0000
Ru1 Ru 0.5000 0.5000 0.2935
Se1 Se 0.0000 0.0000 0.5000
```